Entry 1:
Entry from Alexandria via LeMat-Bulk: ScCrAu2 after structural relaxation (GGA-PBEsol).

The space group is F-43m (No. 216) and the conventional cell measures 6.441, 6.441 and 6.441 Å, with angles of 90.00, 90.00 and 90.00 degrees. The asymmetric unit holds Sc at (0.000, 0.000, 0.000), Cr at (0.250, 0.250, 0.750), Au at (0.000, 0.000, 0.500) and Au at (0.250, 0.250, 0.250).

Its energy of formation from the pure elements is -83 kJ/mol of formula units. As for the crystal system: cubic.

=====

Entry 2:
Entry from Alexandria via LeMat-Bulk: LiTlPd2 after structural relaxation (GGA-PBEsol).

The space group is I4/mmm (No. 139) and the conventional cell measures 4.116, 4.116 and 7.440 Å, with angles of 90.00, 90.00 and 90.00 degrees. The asymmetric unit holds Li at (0.000, 0.000, 0.000), Tl at (0.000, 0.000, 0.500) and Pd at (0.000, 0.500, 0.250).

Its energy of formation from the pure elements is -157 kJ/mol of formula units. As for the crystal system: tetragonal.

=====

Entry 3:
Entry from Alexandria via LeMat-Bulk: Ba3DyRu2O9 after structural relaxation (GGA-PBEsol).

The space group is P6_3/mmc (No. 194) and the conventional cell measures 5.8595, 5.8595 and 14.3636 Å, with angles of 90.00, 90.00 and 120.00 degrees. The asymmetric unit holds Ba at (0.0000, 0.0000, 0.2500), Ba at (0.3333, 0.6667, 0.0947), Dy at (0.0000, 0.0000, 0.0000), Ru at (0.3333, 0.6667, 0.6647), O at (0.0181, 0.5090, 0.7500) and O at (0.1767, 0.3533, 0.5884).

As for the energy relative to the elements, uncorrected: -2.286 eV per atom. As for the crystal system: hexagonal.

=====

Entry 4:
Entry from Alexandria via LeMat-Bulk: K3CrI after structural relaxation (GGA-PBEsol).

The space group is Pm-3m (No. 221) and the conventional cell measures 6.544, 6.544 and 6.544 Å, with angles of 90.00, 90.00 and 90.00 degrees. The asymmetric unit holds K at (0.000, 0.000, 0.500), Cr at (0.500, 0.500, 0.500) and I at (0.000, 0.000, 0.000).

As for the energy relative to the elements, uncorrected: 0.211 eV per atom. As for the energy relative to the lowest polymorph listed for this composition: 0 meV/atom. As for the crystal system: cubic.

=====

Entry 5:
Entry from Alexandria via LeMat-Bulk: Si4WAu after structural relaxation (GGA-PBEsol).

The space group is F-43m (No. 216) and the conventional cell measures 6.955, 6.955 and 6.955 Å, with angles of 90.00, 90.00 and 90.00 degrees. The asymmetric unit holds Si at (0.124, 0.124, 0.376), W at (0.250, 0.250, 0.750) and Au at (0.000, 0.000, 0.000).

As for the energy relative to the elements, uncorrected: 0.472 eV per atom. As for the crystal system: cubic.

=====

Entry 6:
Entry from Alexandria via LeMat-Bulk: NbW3F after structural relaxation (GGA-PBEsol).

The space group is Pm-3m (No. 221) and the conventional cell measures 4.219, 4.219 and 4.219 Å, with angles of 90.00, 90.00 and 90.00 degrees. The asymmetric unit holds Nb at (0.000, 0.000, 0.000), W at (0.000, 0.500, 0.500) and F at (0.500, 0.500, 0.500).

As for the energy relative to the elements, uncorrected: 0.828 eV per atom. As for the crystal system: cubic.

=====

Entry 7:
Entry from Alexandria via LeMat-Bulk: Te2NCl after structural relaxation (GGA-PBEsol).

The space group is Fm-3m (No. 225) and the conventional cell measures 6.678, 6.678 and 6.678 Å, with angles of 90.00, 90.00 and 90.00 degrees. The asymmetric unit holds Te at (0.250, 0.250, 0.250), N at (0.000, 0.000, 0.000) and Cl at (0.000, 0.000, 0.500).

As for the energy relative to the elements, uncorrected: 1.165 eV per atom. As for the crystal system: cubic.

=====

Entry 8:
Entry from Alexandria via LeMat-Bulk: CdP2Au after structural relaxation (GGA-PBEsol).

The space group is P2/m (No. 10) and the conventional cell measures 3.225, 5.059 and 4.633 Å, with angles of 90.00, 92.65 and 90.00 degrees. The asymmetric unit holds Cd at (0.000, 0.000, 0.000), P at (0.243, 0.500, 0.339) and Au at (0.500, 0.000, 0.500).

Its energy of formation from the pure elements is 45 kJ/mol of formula units. As for the crystal system: monoclinic.